# 1
The following is a meta-GGA SCAN calculation of a crystal of RbMg2CuB relaxed with PBEsol, from Alexandria via LeMat-Bulk.

ΔH_f (0 K): 0.750 eV/atom
calculated volume: 24.12 A^3/atom
DOS(E_F): 2.102 states/eV/cell

Structure (CIF):
```
data_RbMg2CuB
_symmetry_space_group_name_H-M 'P 1'
_symmetry_Int_Tables_number 1
_cell_length_a 4.5893
_cell_length_b 4.5893
_cell_length_c 5.7249
_cell_angle_alpha 90.00
_cell_angle_beta 90.00
_cell_angle_gamma 90.00
loop_
_symmetry_equiv_pos_as_xyz
'x,y,z'
loop_
_atom_site_label
_atom_site_fract_x
_atom_site_fract_y
_atom_site_fract_z
Rb1 0.0000 0.0000 0.0000
Mg1 0.0000 0.5000 0.5000
Mg2 0.5000 0.0000 0.5000
Cu1 0.5000 0.5000 0.0000
B1 0.0000 0.0000 0.5000
```

---

# 2
The following is a meta-GGA SCAN calculation of a crystal of LiSc2As relaxed with PBEsol, from Alexandria via LeMat-Bulk.

ΔH_f (0 K): -0.723 eV/atom
calculated volume: 18.58 A^3/atom
DOS(E_F): 3.447 states/eV/cell

Structure (CIF):
```
data_LiSc2As
_symmetry_space_group_name_H-M 'P 1'
_symmetry_Int_Tables_number 1
_cell_length_a 3.8800
_cell_length_b 5.4324
_cell_length_c 5.4324
_cell_angle_alpha 40.47
_cell_angle_beta 90.00
_cell_angle_gamma 90.00
loop_
_symmetry_equiv_pos_as_xyz
'x,y,z'
loop_
_atom_site_label
_atom_site_fract_x
_atom_site_fract_y
_atom_site_fract_z
Li1 0.0000 0.0000 0.0000
Sc1 0.0000 0.7161 0.7161
Sc2 0.5000 0.4229 0.4229
As1 0.5000 0.1440 0.1440
```

---

# 3
The following is a meta-GGA SCAN calculation of a crystal of CuWO4 relaxed with PBEsol, from Alexandria via LeMat-Bulk.

calculated volume: 10.97 A^3/atom
calculated total energy: -0.738 Ha/atom

Structure (CIF):
```
data_CuWO4
_symmetry_space_group_name_H-M 'P 1'
_symmetry_Int_Tables_number 1
_cell_length_a 4.6575
_cell_length_b 4.8762
_cell_length_c 5.8458
_cell_angle_alpha 87.47
_cell_angle_beta 83.36
_cell_angle_gamma 87.22
loop_
_symmetry_equiv_pos_as_xyz
'x,y,z'
loop_
_atom_site_label
_atom_site_fract_x
_atom_site_fract_y
_atom_site_fract_z
Cu1 0.0039 0.2481 0.3442
Cu2 0.9961 0.7519 0.6558
W1 0.4859 0.2538 0.8296
W2 0.5141 0.7462 0.1704
O1 0.2330 0.9064 0.3816
O2 0.2468 0.4302 0.6472
O3 0.2815 0.4285 0.1189
O4 0.2806 0.9430 0.9096
O5 0.7194 0.0570 0.0904
O6 0.7185 0.5715 0.8811
O7 0.7532 0.5698 0.3528
O8 0.7670 0.0936 0.6184
```

---

# 4
The following is a meta-GGA SCAN calculation of a crystal of CsRb3 relaxed with PBEsol, from Alexandria via LeMat-Bulk.

ΔH_f (0 K): -0.001 eV/atom
calculated volume: 89.44 A^3/atom
DOS(E_F): 3.513 states/eV/cell

Structure (CIF):
```
data_CsRb3
_symmetry_space_group_name_H-M 'P 1'
_symmetry_Int_Tables_number 1
_cell_length_a 7.9683
_cell_length_b 7.9683
_cell_length_c 7.9683
_cell_angle_alpha 60.00
_cell_angle_beta 60.00
_cell_angle_gamma 60.00
loop_
_symmetry_equiv_pos_as_xyz
'x,y,z'
loop_
_atom_site_label
_atom_site_fract_x
_atom_site_fract_y
_atom_site_fract_z
Cs1 0.0000 0.0000 0.0000
Rb1 0.2500 0.2500 0.2500
Rb2 0.5000 0.5000 0.5000
Rb3 0.7500 0.7500 0.7500
```